[1]
DFT (PBE-GGA) results for a relaxed structure of MgAlFeCu.

Calculated values
- Distance to the lowest polymorph of the same formula: 0 meV/atom
- Calculated volume: 211.0 Å³ per cell

a = 5.9533 Å, b = 5.9533 Å, c = 5.9533 Å
α = 90.00°, β = 90.00°, γ = 90.00°
Last column: nearest neighbours and their distance in Å.
Space group F-43m (No. 216)
One atom of each set of equivalent atoms:
Mg: 0.0000 0.0000 0.0000  4 Fe 2.58, 4 Cu 2.58
Al: 0.0000 0.0000 0.5000  4 Fe 2.58, 4 Cu 2.58
Fe: 0.2500 0.2500 0.2500  4 Mg 2.58, 4 Al 2.58
Cu: 0.2500 0.2500 0.7500  4 Mg 2.58, 4 Al 2.58


[2]
DFT (PBE-GGA) results for a relaxed structure of NaIn2CuSe4.

Calculated values
- Calculated volume: 448.2 Å³ per cell
- E_tot: -3.662 eV/atom

a = 6.0942 Å, b = 6.0942 Å, c = 12.0687 Å
α = 90.00°, β = 90.00°, γ = 90.00°
Last column: nearest neighbours and their distance in Å.
Space group I-4 (No. 82)
One atom of each set of equivalent atoms:
Na: 0.0000 0.0000 0.0000  4 Se 2.79
In: 0.0000 0.0000 0.5000  4 Se 2.63
In: 0.0000 0.5000 0.7500  4 Se 2.66
Cu: 0.0000 0.5000 0.2500  4 Se 2.46
Se: 0.2252 0.7481 0.3641  1 Cu 2.46, 2 In 2.63-2.66


[3]
DFT (PBE-GGA) results for a relaxed structure of YTmGa4Pt2.

Calculated values
- Calculated volume: 296.1 Å³ per cell
- E_tot: -5.324 eV/atom

a = 6.7096 Å, b = 4.3544 Å, c = 10.1339 Å
α = 90.00°, β = 90.00°, γ = 90.00°
Last column: nearest neighbours and their distance in Å.
Space group Amm2 (No. 38)
One atom of each set of equivalent atoms:
Y: 0.0000 0.0000 0.0000  3 Pt 2.93-3.05, 6 Ga 3.02-3.20
Tm: 0.5000 0.0000 0.8329  3 Pt 2.93-3.05, 6 Ga 3.01-3.18
Ga: 0.1985 0.0000 0.2875  3 Pt 2.63-2.67, 2 Ga 2.66-2.72
Ga: 0.3034 0.0000 0.5471  3 Pt 2.63-2.66, 2 Ga 2.64-2.72
Pt: 0.0000 0.0000 0.7111  6 Ga 2.63-2.67, 1 Y 2.93
Pt: 0.5000 0.0000 0.1222  6 Ga 2.63-2.66, 1 Tm 2.93


[4]
DFT (PBE-GGA) results for a relaxed structure of DyCdHg.

Calculated values
- Calculated volume: 349.9 Å³ per cell
- ΔE_f: 0.006 eV/atom

a = 7.0468 Å, b = 7.0468 Å, c = 7.0468 Å
α = 90.00°, β = 90.00°, γ = 90.00°
Last column: nearest neighbours and their distance in Å.
Space group F-43m (No. 216)
One atom of each set of equivalent atoms:
Dy: 0.0000 0.0000 0.0000  4 Cd 3.05, 4 Hg 3.05
Cd: 0.2500 0.2500 0.7500  4 Dy 3.05
Hg: 0.2500 0.2500 0.2500  4 Dy 3.05


[5]
DFT (PBE-GGA) results for a relaxed structure of YZnNiB.

Calculated values
- Calculated volume: 233.2 Å³ per cell
- E_tot: -4.855 eV/atom

a = 6.1555 Å, b = 6.1555 Å, c = 6.1555 Å
α = 90.00°, β = 90.00°, γ = 90.00°
Last column: nearest neighbours and their distance in Å.
Space group F-43m (No. 216)
One atom of each set of equivalent atoms:
Y: 0.0000 0.0000 0.0000  4 Ni 2.67, 4 B 2.67
Zn: 0.0000 0.0000 0.5000  4 Ni 2.67, 4 B 2.67
Ni: 0.2500 0.2500 0.7500  4 Zn 2.67, 4 Y 2.67
B: 0.2500 0.2500 0.2500  4 Zn 2.67, 4 Y 2.67


[6]
DFT (PBE-GGA) results for a relaxed structure of BiAsPtO.

Calculated values
- Distance to the lowest polymorph of the same formula: 355 meV/atom
- Calculated volume: 160.7 Å³ per cell

a = 4.1413 Å, b = 5.3713 Å, c = 7.2240 Å
α = 90.00°, β = 90.00°, γ = 90.00°
Last column: nearest neighbours and their distance in Å.
Space group Pmc2_1 (No. 26)
One atom of each set of equivalent atoms:
Bi: 0.0000 0.1236 0.0000  1 O 2.24
As: 0.5000 0.2753 0.7523  2 Pt 2.46-2.47
Pt: 0.5000 0.3178 0.4129  2 O 2.12
O: 0.0000 0.2555 0.3692  2 Pt 2.12, 1 Bi 2.24